(1)
YHoAlTe3: relaxed, GGA-PBE.

a = 4.0825 Å, b = 15.3421 Å, c = 10.4517 Å
α = 90.00°, β = 90.00°, γ = 90.00°
Space group Cmcm (No. 63)
Asymmetric unit:
Y 0.0000 0.2183 0.2500 [4 per cell]
Ho 0.0000 0.0000 0.0000 [4 per cell]
Al 0.0000 0.4776 0.7500 [4 per cell]
Te 0.0000 0.1215 0.7500 [4 per cell]
Te 0.0000 0.3483 0.5469 [8 per cell]

Output
Its energy is -4.9447 eV/atom. The total magnetization is 0.0008 μB per atom.

(2)
Lu3Ga8Ir3: relaxed, GGA-PBE.

a = 4.1578 Å, b = 9.8144 Å, c = 12.2331 Å
α = 90.00°, β = 90.00°, γ = 90.00°
Space group Immm (No. 71)
Asymmetric unit:
Lu 0.0000 0.0000 0.0000 [2 per cell]
Lu 0.0000 0.0000 0.3327 [4 per cell]
Ga 0.0000 0.2852 0.1254 [8 per cell]
Ga 0.0000 0.3724 0.3305 [8 per cell]
Ir 0.0000 0.2195 0.5000 [4 per cell]
Ir 0.0000 0.5000 0.0000 [2 per cell]

Output
Its energy is -5.2277 eV/atom. The total magnetization is 0.0007 μB per atom.

(3)
Ta4NiSnC2: relaxed, GGA-PBE.

a = 3.1619 Å, b = 3.1619 Å, c = 13.5078 Å
α = 90.00°, β = 90.00°, γ = 120.00°
Space group P-6m2 (No. 187)
Asymmetric unit:
Ta 0.0000 0.0000 0.1447 [2 per cell]
Ta 0.6667 0.3333 0.3253 [2 per cell]
Ni 0.6667 0.3333 0.0000 [1 per cell]
Sn 0.0000 0.0000 0.5000 [1 per cell]
C 0.3333 0.6667 0.2346 [2 per cell]

Output
Its energy is -9.7673 eV/atom. The total magnetization is 0.0011 μB per atom.

(4)
InCuI6: relaxed, GGA-PBE.

a = 9.4990 Å, b = 9.4990 Å, c = 10.7702 Å
α = 90.00°, β = 90.00°, γ = 120.00°
Space group R-3 (No. 148, hexagonal axes)
Asymmetric unit:
In 0.0000 0.0000 0.0000 [3 per cell]
Cu 0.0000 0.0000 0.5000 [3 per cell]
I 0.0406 0.7976 0.6626 [18 per cell]

Output
Its energy is -1.9132 eV/atom.

Which of these has the lowest energy?
Ta4NiSnC2

What is the formula in the fourth record?
InCuI6

energy of number 3 (Ta4NiSnC2)?
-9.7673 eV/atom